Compound: InAsPb
Source: Alexandria via LeMat-Bulk
Functional: PBE
Structure: relaxed

abc: 5.2808 5.2808 3.2256
angles: 90.00 90.00 120.00
Atoms (fractional coordinates):
1 In 0.0000 0.0000 0.0000
2 As 0.3333 0.6667 0.8797
3 Pb 0.6667 0.3333 0.5406

Calculated values
E above lowest polymorph: 156 meV/atom
DOS at the Fermi energy: 1.08 states/eV per cell
SG: P3m1
DFT formation energy: 0.35 eV/f.u.